# Sr4Ca7Ac PBE-GGA optimized geometry
data_Sr4Ca7Ac
_cell_length_a 4.0189
_cell_length_b 4.0189
_cell_length_c 39.6284
_cell_angle_alpha 90.00
_cell_angle_beta 90.00
_cell_angle_gamma 120.00
_symmetry_space_group_name_H-M 'P -3 m 1'
_symmetry_Int_Tables_number 164
_symmetry_space_group_name_Hall '-P 3 2"'
loop_
_atom_site_label
_atom_site_type_symbol
_atom_site_fract_x
_atom_site_fract_y
_atom_site_fract_z
Sr1 Sr 0.3333 0.6667 0.1658
Sr2 Sr 0.3333 0.6667 0.4151
Ca1 Ca 0.0000 0.0000 0.2505
Ca2 Ca 0.0000 0.0000 0.5000
Ca3 Ca 0.3333 0.6667 0.6700
Ca4 Ca 0.3333 0.6667 0.9187
Ac1 Ac 0.0000 0.0000 0.0000
# Uncorrected energy (eV per atom): -2.04
# M_tot (μB per atom): 0.00
# DFT formation energy (meV/atom): 27.0